VASP calculation (GGA-PBE) on crystalline LuAl2Cu at its relaxed geometry.

The structure belongs to space group P4/mmm (No. 123); the cell edges are 3.0980, 3.0980 and 7.2635 Å and the angles 90.00°, 90.00° and 90.00°. The asymmetric unit holds Lu at (0.0000, 0.0000, 0.0000), Al at (0.5000, 0.5000, 0.3012) and Cu at (0.0000, 0.0000, 0.5000).

The calculation puts the formation energy at -0.2641 eV per atom. The mass density comes out at 6.967 g/cm3. As for the density of states at the Fermi level: 0.517 states/eV/atom.

VASP calculation (GGA-PBE) on crystalline ErMg2Zn4 at its relaxed geometry.

The structure belongs to space group Immm (No. 71); the cell edges are 3.3937, 4.4310 and 17.8782 Å and the angles 90.00°, 90.00° and 90.00°. The asymmetric unit holds Er at (0.0000, 0.0000, 0.0000), Mg at (0.0000, 0.5000, 0.1989), Zn at (0.0000, 0.0000, 0.4289) and Zn at (0.0000, 0.5000, 0.3563).

The calculation puts the formation energy at -0.2115 eV per atom. The mass density comes out at 5.899 g/cm3. As for the density of states at the Fermi level: 0.416 states/eV/atom.

VASP calculation (GGA-PBE) on crystalline TeIrS3 at its relaxed geometry.

The structure belongs to space group Pm-3m (No. 221); the cell edges are 4.6581, 4.6581 and 4.6581 Å and the angles 90.00°, 90.00° and 90.00°. The asymmetric unit holds Te at (0.0000, 0.0000, 0.0000), Ir at (0.5000, 0.5000, 0.5000) and S at (0.0000, 0.5000, 0.5000).

The raw formation energy is 0.450 eV/atom. The mass density comes out at 6.835 g/cm3. For the distance to the lowest polymorph of the same formula, the calculation gives 0.000 eV/f.u. As for the density of states at the Fermi level: 1.181 states/eV/atom.

VASP calculation (GGA-PBE) on crystalline CsHg6Pd at its relaxed geometry.

The structure belongs to space group R-3m (No. 166, hexagonal axes); the cell edges are 7.4183, 7.4183 and 15.7172 Å and the angles 90.00°, 90.00° and 120.00°. The asymmetric unit holds Cs at (0.0000, 0.0000, 0.0000), Hg at (0.0570, 0.5285, 0.9055) and Pd at (0.0000, 0.0000, 0.5000).

The calculation puts the formation energy at -0.1511 eV per atom. The mass density comes out at 9.596 g/cm3. As for the density of states at the Fermi level: 0.214 states/eV/atom.

VASP calculation (GGA-PBE) on crystalline CaSe5 at its relaxed geometry.

The structure belongs to space group Cm (No. 8); the cell edges are 10.9267, 3.6916 and 8.5301 Å and the angles 90.00°, 98.74° and 90.00°. The asymmetric unit holds Ca at (0.0000, 0.0000, 0.0000), Se at (0.1985, 0.5000, 0.2887), Se at (0.2168, 0.5000, 0.0113), Se at (0.2189, 0.0000, 0.6674), Se at (0.4306, 0.0000, 0.7186) and Se at (0.4839, 0.0000, 0.2727).

The raw formation energy is -0.483 eV/atom. The mass density comes out at 4.247 g/cm3. As for the density of states at the Fermi level: 0.652 states/eV/atom.

VASP calculation (GGA-PBE) on crystalline ZnNiOs2 at its relaxed geometry.

The structure belongs to space group P4/mmm (No. 123); the cell edges are 2.6634, 2.6634 and 7.6360 Å and the angles 90.00°, 90.00° and 90.00°. The asymmetric unit holds Zn at (0.0000, 0.0000, 0.0000), Ni at (0.0000, 0.0000, 0.5000) and Os at (0.5000, 0.5000, 0.2660).

The calculation puts the formation energy at 0.3540 eV per atom. The mass density comes out at 15.468 g/cm3. As for the density of states at the Fermi level: 1.553 states/eV/atom.

VASP calculation (GGA-PBE) on crystalline Tl2IrOs at its relaxed geometry.

The structure belongs to space group Cm (No. 8); the cell edges are 10.3775, 2.9946 and 5.4874 Å and the angles 90.00°, 114.85° and 90.00°. The asymmetric unit holds Tl at (0.0000, 0.0000, 0.0000), Tl at (0.1994, 0.0000, 0.6122), Ir at (0.4373, 0.0000, 0.4868) and Os at (0.2572, 0.5000, 0.1109).

The calculation puts the formation energy at 0.7519 eV per atom. The mass density comes out at 16.981 g/cm3. For the distance to the lowest polymorph of the same formula, the calculation gives 0.949 eV/f.u. As for the density of states at the Fermi level: 0.609 states/eV/atom.

VASP calculation (GGA-PBE) on crystalline LaFeCu at its relaxed geometry.

The structure belongs to space group I4/mmm (No. 139); the cell edges are 4.3083, 4.3083 and 12.6789 Å and the angles 90.00°, 90.00° and 90.00°. The asymmetric unit holds La at (0.0000, 0.0000, 0.1500), Fe at (0.0000, 0.5000, 0.0000) and Cu at (0.0000, 0.0000, 0.4011).

The calculation puts the formation energy at 0.1032 eV per atom. The mass density comes out at 7.290 g/cm3. As for the density of states at the Fermi level: 1.021 states/eV/atom.

VASP calculation (GGA-PBE) on crystalline LaHg2Au at its relaxed geometry.

The structure belongs to space group P4mm (No. 99); the cell edges are 3.9118, 3.9118 and 6.7918 Å and the angles 90.00°, 90.00° and 90.00°. The asymmetric unit holds La at (0.0000, 0.0000, 0.0000), Hg at (0.0000, 0.0000, 0.4808), Hg at (0.5000, 0.5000, 0.7068) and Au at (0.5000, 0.5000, 0.2229).

The calculation puts the formation energy at -0.4108 eV per atom. The mass density comes out at 11.777 g/cm3. As for the density of states at the Fermi level: 0.667 states/eV/atom.

VASP calculation (GGA-PBE) on crystalline TiAgSn2 at its relaxed geometry.

The structure belongs to space group P4/mmm (No. 123); the cell edges are 3.6273, 3.6273 and 6.3466 Å and the angles 90.00°, 90.00° and 90.00°. The asymmetric unit holds Ti at (0.0000, 0.0000, 0.0000), Ag at (0.0000, 0.0000, 0.5000) and Sn at (0.5000, 0.5000, 0.2423).

The calculation puts the formation energy at 0.0234 eV per atom. The mass density comes out at 7.818 g/cm3. For the distance to the lowest polymorph of the same formula, the calculation gives 0.310 eV/f.u. As for the density of states at the Fermi level: 1.023 states/eV/atom.

VASP calculation (GGA-PBE) on crystalline SiMoRu2 at its relaxed geometry.

The structure belongs to space group Cmmm (No. 65); the cell edges are 5.7304, 6.8157 and 2.8783 Å and the angles 90.00°, 90.00° and 90.00°. The asymmetric unit holds Si at (0.0000, 0.0000, 0.0000), Mo at (0.0000, 0.5000, 0.0000) and Ru at (0.2500, 0.2500, 0.5000).

The raw formation energy is -0.122 eV/atom. The mass density comes out at 9.636 g/cm3. As for the density of states at the Fermi level: 0.960 states/eV/atom.

VASP calculation (GGA-PBE) on crystalline Tb6Hg8Pb at its relaxed geometry.

The structure belongs to space group R-3 (No. 148, hexagonal axes); the cell edges are 8.7876, 8.7876 and 18.9659 Å and the angles 90.00°, 90.00° and 120.00°. The asymmetric unit holds Tb at (0.0106, 0.7234, 0.1011), Hg at (0.0000, 0.0000, 0.1985), Hg at (0.0088, 0.6305, 0.9445) and Pb at (0.0000, 0.0000, 0.5000).

The calculation puts the formation energy at -0.3432 eV per atom. The mass density comes out at 10.862 g/cm3. As for the density of states at the Fermi level: 0.657 states/eV/atom.